# 1
Computed, not measured: a relaxed structure of NaAcTl6 at the PBE level of DFT.

Lattice parameters (Å, degrees): 5.570 6.996 6.996 63.82 90.00 90.00
Atoms (fractional coordinates):
Na 0.000 0.000 0.000
Ac 0.500 0.296 0.296
Tl 0.000 0.486 0.486
Tl 0.000 0.513 0.961
Tl 0.000 0.961 0.513
Tl 0.500 0.317 0.792
Tl 0.500 0.792 0.317
Tl 0.500 0.817 0.817

The calculation puts the excess energy over the best structure of this formula in the dataset at 0 meV/atom. Its symmetry is Amm2, No. 38. The value obtained for the mass density is 10.018 g/cm³. For the volume, the calculation gives 30.588 Å³ per atom.

=====

# 2
Computed, not measured: a relaxed structure of LiTmScGa at the PBE level of DFT.

Lattice parameters (Å, degrees): 4.902 4.902 4.902 60.00 60.00 60.00
Atoms (fractional coordinates):
Li 0.000 0.000 0.000
Tm 0.250 0.250 0.250
Sc 0.750 0.750 0.750
Ga 0.500 0.500 0.500

Its symmetry is F-43m, No. 216. The value obtained for the mass density is 5.793 g/cm³. For the volume, the calculation gives 20.823 Å³ per atom.

=====

# 3
Computed, not measured: a relaxed structure of Mg2HgRh at the PBE level of DFT.

Lattice parameters (Å, degrees): 4.541 4.541 3.402 90.00 90.00 90.00
Atoms (fractional coordinates):
Mg 0.000 0.500 0.000
Mg 0.500 0.000 0.000
Hg 0.000 0.000 0.500
Rh 0.500 0.500 0.500

Its symmetry is P4/mmm, No. 123. The value obtained for the mass density is 8.335 g/cm³. For the volume, the calculation gives 17.537 Å³ per atom.

=====

# 4
Computed, not measured: a relaxed structure of MgAlVRe at the PBE level of DFT.

Lattice parameters (Å, degrees): 4.386 4.386 4.386 60.00 60.00 60.00
Atoms (fractional coordinates):
Mg 0.000 0.000 0.000
Al 0.750 0.750 0.750
V 0.250 0.250 0.250
Re 0.500 0.500 0.500

Its symmetry is F-43m, No. 216. The value obtained for the mass density is 8.030 g/cm³. For the volume, the calculation gives 14.912 Å³ per atom.

=====

# 5
Computed, not measured: a relaxed structure of Pu2AlNi2 at the PBE level of DFT.

Lattice parameters (Å, degrees): 4.134 4.134 5.989 90.00 90.00 120.00
Atoms (fractional coordinates):
Pu 0.333 0.667 0.138
Pu 0.667 0.333 0.862
Al 0.000 0.000 0.500
Ni 0.333 0.667 0.602
Ni 0.667 0.333 0.398

Its symmetry is P-3m1, No. 164. The value obtained for the mass density is 11.847 g/cm³. For the volume, the calculation gives 17.727 Å³ per atom.

=====

# 6
Computed, not measured: a relaxed structure of AcTl12Hg6 at the PBE level of DFT.

Lattice parameters (Å, degrees): 8.359 8.359 8.359 89.28 89.28 89.28
Atoms (fractional coordinates):
Ac 0.000 0.000 0.000
Tl 0.034 0.387 0.163
Tl 0.163 0.034 0.387
Tl 0.202 0.556 0.474
Tl 0.387 0.163 0.034
Tl 0.444 0.526 0.798
Tl 0.474 0.202 0.556
Tl 0.526 0.798 0.444
Tl 0.556 0.474 0.202
Tl 0.613 0.837 0.966
Tl 0.798 0.444 0.526
Tl 0.837 0.966 0.613
Tl 0.966 0.613 0.837
Hg 0.121 0.269 0.727
Hg 0.269 0.727 0.121
Hg 0.273 0.879 0.731
Hg 0.727 0.121 0.269
Hg 0.731 0.273 0.879
Hg 0.879 0.731 0.273

Its symmetry is R-3, No. 148. The value obtained for the mass density is 11.043 g/cm³. For the volume, the calculation gives 30.731 Å³ per atom.

=====

# 7
Computed, not measured: a relaxed structure of Cs2NdMg3F12 at the PBE level of DFT.

Lattice parameters (Å, degrees): 7.591 7.591 7.591 60.43 60.43 60.43
Atoms (fractional coordinates):
Cs 0.113 0.113 0.113
Cs 0.887 0.887 0.887
Nd 0.500 0.500 0.500
Mg 0.000 0.500 0.500
Mg 0.500 0.000 0.500
Mg 0.500 0.500 0.000
F 0.133 0.596 0.596
F 0.208 0.208 0.581
F 0.208 0.581 0.208
F 0.404 0.404 0.867
F 0.404 0.867 0.404
F 0.419 0.792 0.792
F 0.581 0.208 0.208
F 0.596 0.133 0.596
F 0.596 0.596 0.133
F 0.792 0.419 0.792
F 0.792 0.792 0.419
F 0.867 0.404 0.404

Its symmetry is R-3m, No. 166. The value obtained for the formation energy (no corrections) is -3.283 eV per atom. The value obtained for the mass density is 3.780 g/cm³. For the volume, the calculation gives 17.349 Å³ per atom.

=====

# 8
Computed, not measured: a relaxed structure of LaPtC3 at the PBE level of DFT.

Lattice parameters (Å, degrees): 4.417 4.417 4.417 90.00 90.00 90.00
Atoms (fractional coordinates):
La 0.000 0.000 0.000
Pt 0.500 0.500 0.500
C 0.000 0.000 0.500
C 0.000 0.500 0.000
C 0.500 0.000 0.000

The calculation puts the excess energy over the best structure of this formula in the dataset at 1721 meV/atom. Its symmetry is Pm-3m, No. 221. The value obtained for the mass density is 7.130 g/cm³. For the volume, the calculation gives 17.235 Å³ per atom.

=====

# 9
Computed, not measured: a relaxed structure of Co2Ni2Pt at the PBE level of DFT.

Lattice parameters (Å, degrees): 5.325 4.524 4.348 73.74 54.64 51.62
Atoms (fractional coordinates):
Co 0.250 0.250 0.250
Co 0.750 0.750 0.750
Ni 0.153 0.847 0.153
Ni 0.847 0.153 0.847
Pt 0.500 0.500 0.500

The calculation puts the excess energy over the best structure of this formula in the dataset at 359 meV/atom. Its symmetry is Fmmm, No. 69. The value obtained for the mass density is 10.754 g/cm³. For the volume, the calculation gives 13.289 Å³ per atom.

=====

# 10
Computed, not measured: a relaxed structure of Sm2GdFe at the PBE level of DFT.

Lattice parameters (Å, degrees): 3.487 3.487 9.033 90.00 90.00 90.00
Atoms (fractional coordinates):
Sm 0.000 0.000 0.184
Sm 0.000 0.000 0.816
Gd 0.500 0.500 0.500
Fe 0.500 0.500 0.000

The calculation puts the excess energy over the best structure of this formula in the dataset at 0 meV/atom. Its symmetry is P4/mmm, No. 123. The value obtained for the mass density is 7.770 g/cm³. For the volume, the calculation gives 27.451 Å³ per atom.

=====

# 11
Computed, not measured: a relaxed structure of CdRe2Pb at the PBE level of DFT.

Lattice parameters (Å, degrees): 3.555 3.555 6.124 90.00 90.00 90.00
Atoms (fractional coordinates):
Cd 0.000 0.000 0.000
Re 0.500 0.500 0.204
Re 0.500 0.500 0.796
Pb 0.000 0.000 0.500

The calculation puts the excess energy over the best structure of this formula in the dataset at 887 meV/atom. Its symmetry is P4/mmm, No. 123. The value obtained for the mass density is 14.852 g/cm³. For the volume, the calculation gives 19.343 Å³ per atom.

=====

# 12
Computed, not measured: a relaxed structure of DyPaBi2 at the PBE level of DFT.

Lattice parameters (Å, degrees): 5.413 5.413 3.909 90.00 90.00 90.00
Atoms (fractional coordinates):
Dy 0.000 0.000 0.000
Pa 0.500 0.500 0.000
Bi 0.000 0.500 0.500
Bi 0.500 0.000 0.500

The calculation puts the excess energy over the best structure of this formula in the dataset at 96 meV/atom. Its symmetry is P4/mmm, No. 123. The value obtained for the mass density is 11.766 g/cm³. For the volume, the calculation gives 28.631 Å³ per atom.

=====

Number 1: E_tot -0.0959 Ha/atom. Number 2: E_tot -0.1564 Ha/atom. Number 3: E_tot -0.1117 Ha/atom. Number 4: E_tot -0.2493 Ha/atom. Number 5: E_tot -0.3304 Ha/atom. Number 6: E_tot -0.0677 Ha/atom. Number 7: E_tot -0.1895 Ha/atom. Number 8: E_tot -0.1684 Ha/atom. Number 9: E_tot -0.2225 Ha/atom. Number 10: E_tot -0.2878 Ha/atom. Number 11: E_tot -0.2262 Ha/atom. Number 12: E_tot -0.2134 Ha/atom.